[1]
# PmNd5Tl5, optimized geometry, DFT PBE
data_PmNd5Tl5
_cell_length_a 16.782
_cell_length_b 6.070
_cell_length_c 7.184
_cell_angle_alpha 90.00
_cell_angle_beta 98.00
_cell_angle_gamma 90.00
_space_group_name_H-M_alt 'C 1 2/m 1'
_space_group_IT_number 12
loop_
_space_group_symop_operation_xyz
'x,y,z'
'-x,-y,-z'
'-x,y,-z'
'x,-y,z'
'x+1/2,y+1/2,z'
'-x+1/2,-y+1/2,-z'
'-x+1/2,y+1/2,-z'
'x+1/2,-y+1/2,z'
loop_
_atom_site_label
_atom_site_type_symbol
_atom_site_fract_x
_atom_site_fract_y
_atom_site_fract_z
_atom_site_occupancy
Pm1 Pm 0.000 0.000 0.000 1
Nd1 Nd 0.000 0.000 0.500 1
Nd2 Nd 0.141 0.500 0.409 1
Nd3 Nd 0.178 0.500 0.920 1
Tl1 Tl 0.000 0.500 0.000 1
Tl2 Tl 0.166 0.000 0.277 1
Tl3 Tl 0.174 0.000 0.728 1
# E = -42.05 eV/f.u.

---

[2]
# ZrMo2Os, optimized geometry, DFT PBE
data_ZrMo2Os
_cell_length_a 2.928
_cell_length_b 2.928
_cell_length_c 8.049
_cell_angle_alpha 90.00
_cell_angle_beta 90.00
_cell_angle_gamma 90.00
_space_group_name_H-M_alt 'P 4 m m'
_space_group_IT_number 99
loop_
_space_group_symop_operation_xyz
'x,y,z'
'-y,x,z'
'-x,-y,z'
'y,-x,z'
'-x,y,z'
'y,x,z'
'x,-y,z'
'-y,-x,z'
loop_
_atom_site_label
_atom_site_type_symbol
_atom_site_fract_x
_atom_site_fract_y
_atom_site_fract_z
_atom_site_occupancy
Zr1 Zr 0.000 0.000 0.000 1
Mo1 Mo 0.000 0.000 0.541 1
Mo2 Mo 0.500 0.500 0.287 1
Os1 Os 0.500 0.500 0.739 1
# energy above the most stable polymorph in this dataset = 251.1 meV/atom

---

[3]
# CsTaGa3, optimized geometry, DFT PBE
data_CsTaGa3
_cell_length_a 5.511
_cell_length_b 5.511
_cell_length_c 5.511
_cell_angle_alpha 90.00
_cell_angle_beta 90.00
_cell_angle_gamma 90.00
_space_group_name_H-M_alt 'P m -3 m'
_space_group_IT_number 221
_space_group_name_Hall '-P 4 2 3'
loop_
_atom_site_label
_atom_site_type_symbol
_atom_site_fract_x
_atom_site_fract_y
_atom_site_fract_z
_atom_site_occupancy
Cs1 Cs 0.000 0.000 0.000 1
Ta1 Ta 0.500 0.500 0.500 1
Ga1 Ga 0.000 0.000 0.500 1
# energy above the most stable polymorph in this dataset = 2010.5 meV/atom

---

[4]
# CePuGaAg, optimized geometry, DFT PBE
data_CePuGaAg
_cell_length_a 7.315
_cell_length_b 7.315
_cell_length_c 7.315
_cell_angle_alpha 90.00
_cell_angle_beta 90.00
_cell_angle_gamma 90.00
_space_group_name_H-M_alt 'F -4 3 m'
_space_group_IT_number 216
_space_group_name_Hall 'F -4 2 3'
loop_
_atom_site_label
_atom_site_type_symbol
_atom_site_fract_x
_atom_site_fract_y
_atom_site_fract_z
_atom_site_occupancy
Ce1 Ce 0.000 0.000 0.000 1
Pu1 Pu 0.000 0.000 0.500 1
Ga1 Ga 0.250 0.250 0.750 1
Ag1 Ag 0.250 0.250 0.250 1
# energy above the most stable polymorph in this dataset = 0.0 meV/atom

---

[5]
# Pm4Ge5Pt3, optimized geometry, DFT PBE
data_Pm4Ge5Pt3
_cell_length_a 14.124
_cell_length_b 4.630
_cell_length_c 9.624
_cell_angle_alpha 90.00
_cell_angle_beta 113.31
_cell_angle_gamma 90.00
_space_group_name_H-M_alt 'C 1 2/m 1'
_space_group_IT_number 12
loop_
_space_group_symop_operation_xyz
'x,y,z'
'-x,-y,-z'
'-x,y,-z'
'x,-y,z'
'x+1/2,y+1/2,z'
'-x+1/2,-y+1/2,-z'
'-x+1/2,y+1/2,-z'
'x+1/2,-y+1/2,z'
loop_
_atom_site_label
_atom_site_type_symbol
_atom_site_fract_x
_atom_site_fract_y
_atom_site_fract_z
_atom_site_occupancy
Pm1 Pm 0.047 0.000 0.335 1
Pm2 Pm 0.241 0.000 0.819 1
Ge1 Ge 0.000 0.500 0.000 1
Ge2 Ge 0.091 0.500 0.601 1
Ge3 Ge 0.211 0.500 0.471 1
Pt1 Pt 0.000 0.000 0.000 1
Pt2 Pt 0.118 0.500 0.868 1
# E = -68.24 eV/f.u.

---

[6]
# Mg3Hg, optimized geometry, DFT PBE
data_Mg3Hg
_cell_length_a 3.538
_cell_length_b 3.939
_cell_length_c 6.307
_cell_angle_alpha 90.00
_cell_angle_beta 90.18
_cell_angle_gamma 90.00
_space_group_name_H-M_alt 'P 1 2/m 1'
_space_group_IT_number 10
loop_
_space_group_symop_operation_xyz
'x,y,z'
'-x,-y,-z'
'-x,y,-z'
'x,-y,z'
loop_
_atom_site_label
_atom_site_type_symbol
_atom_site_fract_x
_atom_site_fract_y
_atom_site_fract_z
_atom_site_occupancy
Mg1 Mg 0.000 0.000 0.000 1
Mg2 Mg 0.498 0.500 0.741 1
Hg1 Hg 0.000 0.000 0.500 1
# E = -5.56 eV/f.u.

---

[7]
# Cr3GaN, optimized geometry, DFT PBE
data_Cr3GaN
_cell_length_a 4.725
_cell_length_b 4.725
_cell_length_c 4.725
_cell_angle_alpha 90.00
_cell_angle_beta 90.00
_cell_angle_gamma 90.00
_space_group_name_H-M_alt 'P m -3 m'
_space_group_IT_number 221
_space_group_name_Hall '-P 4 2 3'
loop_
_atom_site_label
_atom_site_type_symbol
_atom_site_fract_x
_atom_site_fract_y
_atom_site_fract_z
_atom_site_occupancy
Cr1 Cr 0.000 0.000 0.500 1
Ga1 Ga 0.000 0.000 0.000 1
N1 N 0.500 0.500 0.500 1
# E = -30.24 eV/f.u.

---

[8]
# KRb2CdAu, optimized geometry, DFT PBE
data_KRb2CdAu
_cell_length_a 5.018
_cell_length_b 5.498
_cell_length_c 20.355
_cell_angle_alpha 90.00
_cell_angle_beta 90.00
_cell_angle_gamma 90.00
_space_group_name_H-M_alt 'I m m 2'
_space_group_IT_number 44
loop_
_space_group_symop_operation_xyz
'x,y,z'
'-x,-y,z'
'-x,y,z'
'x,-y,z'
'x+1/2,y+1/2,z+1/2'
'-x+1/2,-y+1/2,z+1/2'
'-x+1/2,y+1/2,z+1/2'
'x+1/2,-y+1/2,z+1/2'
loop_
_atom_site_label
_atom_site_type_symbol
_atom_site_fract_x
_atom_site_fract_y
_atom_site_fract_z
_atom_site_occupancy
K1 K 0.000 0.000 0.000 1
Rb1 Rb 0.000 0.000 0.279 1
Rb2 Rb 0.000 0.000 0.646 1
Cd1 Cd 0.000 0.500 0.386 1
Au1 Au 0.000 0.000 0.822 1
# energy above the most stable polymorph in this dataset = 28.5 meV/atom